Entry 1:
Entry from Alexandria via LeMat-Bulk: a relaxed NaPtN2 crystal (GGA-PBE).

Summary:
ΔE to the lowest computed polymorph, eV per atom: 0.0000
ΔE_f (raw), kJ per mole of atoms: -6
Symmetry: P-1, No. 2

a b c (Å): 2.811 4.577 11.598
angles (deg): 107.86 81.58 90.00
Atoms (fractional coordinates):
N  0.789  0.987  0.847
N  0.210  0.765  0.155
N  0.790  0.235  0.845
N  0.211  0.013  0.153
Pt  0.000  0.500  0.500
Pt  0.500  0.000  0.500
Na  0.639  0.478  0.271
Na  0.361  0.522  0.729

Entry 2:
Entry from Alexandria via LeMat-Bulk: a relaxed Pm6NdSc crystal (GGA-PBE).

Summary:
ΔE to the lowest computed polymorph, eV per atom: 0.0000
Formation energy, eV per formula unit: 0.260
Symmetry: P4/mmm, No. 123

a b c (Å): 5.103 5.103 10.185
angles (deg): 90.00 90.00 90.00
Atoms (fractional coordinates):
Pm  0.000  0.500  0.743
Pm  0.500  0.000  0.257
Pm  0.500  0.500  0.000
Pm  0.000  0.500  0.257
Pm  0.500  0.000  0.743
Pm  0.500  0.500  0.500
Sc  0.000  0.000  0.500
Nd  0.000  0.000  0.000

Entry 3:
Entry from Alexandria via LeMat-Bulk: a relaxed P2RhO crystal (GGA-PBE).

Summary:
ΔE_f (raw), kJ per mole of atoms: -12
Symmetry: I-42d, No. 122

a b c (Å): 4.964 4.964 6.197
angles (deg): 66.39 66.39 90.00
Atoms (fractional coordinates):
O  0.500  0.500  0.000
O  0.250  0.750  0.500
Rh  0.750  0.250  0.500
Rh  0.000  0.000  0.000
P  0.154  0.625  0.250
P  0.596  0.125  0.250
P  0.875  0.846  0.750
P  0.375  0.404  0.750

Entry 4:
Entry from Alexandria via LeMat-Bulk: a relaxed NpGaFeRh crystal (GGA-PBE).

Summary:
Formation energy, eV per formula unit: -0.875
Symmetry: F-43m, No. 216

a b c (Å): 4.522 4.522 4.522
angles (deg): 60.00 60.00 60.00
Site moments in Bohr magnetons follow the coordinates.
Atoms (fractional coordinates):
Fe  0.000  0.000  0.000  -1.76
Np  0.750  0.750  0.750  3.52
Ga  0.250  0.250  0.250  0.02
Rh  0.500  0.500  0.500  -0.23

Entry 5:
Entry from Alexandria via LeMat-Bulk: a relaxed BaCaO2 crystal (GGA-PBE).

Summary:
ΔE to the lowest computed polymorph, eV per atom: 0.0000
ΔE_f (raw), kJ per mole of atoms: -257
Symmetry: Pnma, No. 62

a b c (Å): 3.764 6.324 12.262
angles (deg): 90.00 90.00 90.00
Atoms (fractional coordinates):
O  0.250  0.216  0.482
O  0.250  0.151  0.752
O  0.750  0.349  0.252
O  0.750  0.284  0.982
O  0.250  0.716  0.018
O  0.250  0.651  0.748
O  0.750  0.849  0.248
O  0.750  0.784  0.518
Ba  0.250  0.094  0.142
Ba  0.750  0.906  0.858
Ba  0.750  0.406  0.642
Ba  0.250  0.594  0.358
Ca  0.250  0.409  0.893
Ca  0.250  0.909  0.607
Ca  0.750  0.091  0.393
Ca  0.750  0.591  0.107

Entry 6:
Entry from Alexandria via LeMat-Bulk: a relaxed Cs3Mn5Br12 crystal (GGA-PBE).

Summary:
ΔE_f (raw), kJ per mole of atoms: -96
Symmetry: Ia-3d, No. 230

a b c (Å): 15.368 15.368 15.368
angles (deg): 109.47 109.47 109.47
Site moments in Bohr magnetons follow the coordinates.
Atoms (fractional coordinates):
Mn  0.000  0.000  0.500  4.27
Mn  0.125  0.750  0.375  4.26
Mn  0.750  0.625  0.375  4.26
Mn  0.875  0.250  0.625  4.26
Mn  0.125  0.375  0.250  4.26
Mn  0.000  0.000  0.000  4.27
Mn  0.375  0.250  0.125  4.26
Mn  0.875  0.625  0.750  4.26
Mn  0.500  0.500  0.500  4.27
Mn  0.750  0.125  0.875  4.26
Mn  0.625  0.750  0.875  4.26
Mn  0.250  0.875  0.125  4.26
Mn  0.375  0.125  0.750  4.26
Mn  0.250  0.375  0.625  4.26
Mn  0.500  0.000  0.000  4.27
Mn  0.625  0.875  0.250  4.26
Mn  0.000  0.500  0.000  4.27
Mn  0.000  0.500  0.500  4.27
Mn  0.500  0.500  0.000  4.27
Mn  0.500  0.000  0.500  4.27
Br  0.604  0.006  0.190  0.06
Br  0.994  0.598  0.184  0.06
Br  0.494  0.810  0.896  0.06
Br  0.414  0.310  0.316  0.06
Br  0.402  0.396  0.586  0.06
Br  0.494  0.684  0.098  0.06
Br  0.506  0.190  0.104  0.06
Br  0.684  0.494  0.598  0.06
Br  0.896  0.310  0.494  0.06
Br  0.190  0.506  0.604  0.06
Br  0.896  0.586  0.902  0.06
Br  0.604  0.598  0.914  0.06
Br  0.816  0.902  0.006  0.06
Br  0.396  0.994  0.810  0.06
Br  0.690  0.586  0.184  0.06
Br  0.310  0.896  0.994  0.06
Br  0.902  0.816  0.506  0.06
Br  0.086  0.902  0.396  0.06
Br  0.316  0.810  0.414  0.06
Br  0.310  0.414  0.816  0.06
Br  0.006  0.402  0.816  0.06
Br  0.086  0.184  0.190  0.06
Br  0.810  0.316  0.914  0.06
Br  0.690  0.104  0.006  0.06
Br  0.104  0.414  0.098  0.06
Br  0.914  0.816  0.810  0.06
Br  0.914  0.098  0.604  0.06
Br  0.586  0.896  0.402  0.06
Br  0.586  0.690  0.684  0.06
Br  0.816  0.914  0.310  0.06
Br  0.104  0.690  0.506  0.06
Br  0.184  0.098  0.994  0.06
Br  0.316  0.506  0.402  0.06
Br  0.184  0.086  0.690  0.06
Br  0.810  0.494  0.396  0.06
Br  0.598  0.994  0.684  0.06
Br  0.902  0.086  0.896  0.06
Br  0.098  0.914  0.104  0.06
Br  0.006  0.604  0.690  0.06
Br  0.402  0.006  0.316  0.06
Br  0.994  0.396  0.310  0.06
Br  0.396  0.402  0.086  0.06
Br  0.598  0.604  0.414  0.06
Br  0.190  0.684  0.086  0.06
Br  0.098  0.184  0.494  0.06
Br  0.684  0.190  0.586  0.06
Br  0.506  0.316  0.902  0.06
Br  0.414  0.104  0.598  0.06
Cs  0.125  0.875  0.750  0.00
Cs  0.375  0.625  0.250  0.00
Cs  0.750  0.875  0.625  0.00
Cs  0.625  0.250  0.375  0.00
Cs  0.875  0.125  0.250  0.00
Cs  0.250  0.125  0.375  0.00
Cs  0.125  0.250  0.875  0.00
Cs  0.250  0.625  0.875  0.00
Cs  0.875  0.750  0.125  0.00
Cs  0.375  0.750  0.625  0.00
Cs  0.750  0.375  0.125  0.00
Cs  0.625  0.375  0.750  0.00

Entry 7:
Entry from Alexandria via LeMat-Bulk: a relaxed Ga2AgPd6 crystal (GGA-PBE).

Summary:
Formation energy, eV per formula unit: -2.578
Symmetry: P2_1/c, No. 14

a b c (Å): 5.089 7.186 7.929
angles (deg): 90.00 86.12 90.00
Atoms (fractional coordinates):
Pd  0.332  0.857  0.038
Pd  0.668  0.143  0.962
Pd  0.167  0.111  0.798
Pd  0.168  0.357  0.462
Pd  0.121  0.235  0.126
Pd  0.879  0.765  0.874
Pd  0.379  0.735  0.374
Pd  0.333  0.611  0.702
Pd  0.832  0.643  0.538
Pd  0.833  0.889  0.202
Pd  0.621  0.265  0.626
Pd  0.667  0.389  0.298
Ga  0.445  0.080  0.304
Ga  0.055  0.580  0.196
Ga  0.945  0.420  0.804
Ga  0.555  0.920  0.696
Ag  0.000  0.000  0.500
Ag  0.500  0.500  0.000

Entry 8:
Entry from Alexandria via LeMat-Bulk: a relaxed ZrVPd2 crystal (GGA-PBE).

Summary:
ΔE to the lowest computed polymorph, eV per atom: 0.0637
Formation energy, eV per formula unit: -1.196
Symmetry: Fm-3m, No. 225

a b c (Å): 4.605 4.605 4.605
angles (deg): 60.00 60.00 60.00
Site moments in Bohr magnetons follow the coordinates.
Atoms (fractional coordinates):
Zr  0.500  0.500  0.500  0.11
Pd  0.250  0.250  0.250  0.12
Pd  0.750  0.750  0.750  0.12
V  0.000  0.000  0.000  2.19

Entry 9:
Entry from Alexandria via LeMat-Bulk: a relaxed SmAlGaCu2 crystal (GGA-PBE).

Summary:
Formation energy, eV per formula unit: -1.968
Symmetry: Imm2, No. 44

a b c (Å): 4.156 3.964 6.142
angles (deg): 108.82 109.77 90.00
Atoms (fractional coordinates):
Al  0.189  0.689  0.377
Ga  0.833  0.833  0.665
Sm  0.445  0.445  0.890
Cu  0.056  0.056  0.112
Cu  0.690  0.190  0.380

Entry 10:
Entry from Alexandria via LeMat-Bulk: a relaxed Y2Hf2Al crystal (GGA-PBE).

Summary:
ΔE to the lowest computed polymorph, eV per atom: 0.2711
Formation energy, eV per formula unit: 1.815
Symmetry: P4/mbm, No. 127

a b c (Å): 7.784 7.784 4.278
angles (deg): 90.00 90.00 90.00
Atoms (fractional coordinates):
Hf  0.141  0.641  0.500
Hf  0.359  0.141  0.500
Hf  0.641  0.859  0.500
Hf  0.859  0.359  0.500
Y  0.653  0.153  0.000
Y  0.847  0.653  0.000
Y  0.153  0.347  0.000
Y  0.347  0.847  0.000
Al  0.000  0.000  0.000
Al  0.500  0.500  0.000

Entry 11:
Entry from Alexandria via LeMat-Bulk: a relaxed HgIr2Ru crystal (GGA-PBE).

Summary:
Formation energy, eV per formula unit: 1.343
Symmetry: R3m, No. 160

a b c (Å): 9.403 9.403 9.403
angles (deg): 17.19 17.19 17.19
Atoms (fractional coordinates):
Ru  0.507  0.507  0.507
Ir  0.249  0.249  0.249
Ir  0.994  0.994  0.994
Hg  0.751  0.751  0.751

Entry 12:
Entry from Alexandria via LeMat-Bulk: a relaxed Sm4Y6Ho crystal (GGA-PBE).

Summary:
ΔE to the lowest computed polymorph, eV per atom: 0.0000
Formation energy, eV per formula unit: 1.306
Symmetry: Cmcm, No. 63

a b c (Å): 5.764 5.642 25.881
angles (deg): 90.00 90.00 120.72
Atoms (fractional coordinates):
Ho  0.816  0.632  0.250
Ho  0.184  0.368  0.750
Y  0.500  0.000  0.500
Y  0.810  0.619  0.394
Y  0.810  0.619  0.106
Y  0.190  0.381  0.894
Y  0.500  0.000  0.000
Y  0.518  0.036  0.750
Y  0.145  0.289  0.318
Y  0.482  0.964  0.250
Y  0.855  0.711  0.818
Y  0.855  0.711  0.682
Y  0.190  0.381  0.606
Y  0.145  0.289  0.182
Sm  0.470  0.939  0.378
Sm  0.157  0.313  0.456
Sm  0.530  0.061  0.622
Sm  0.470  0.939  0.122
Sm  0.843  0.687  0.544
Sm  0.157  0.313  0.044
Sm  0.530  0.061  0.878
Sm  0.843  0.687  0.956

no.,energy (eV/atom)
1,-6.06
2,-4.92
3,-5.91
4,-8.16
5,-6.12
6,-4.42
7,-4.74
8,-7.31
9,-4.33
10,-6.95
11,-6.49
12,-5.54